CrNiO2F GGA+U optimized geometry; final energy = -27.1 eV for the cell shown; space group = No. 123; calculated density = 4.78 Mg/m³; DOS(E_F) = 2.58 states/eV per cell
1.0
3.8053 0.0000 0.0000
0.0000 3.8053 0.0000
0.0000 0.0000 3.8784
Cr Ni O F
1 1 2 1
Direct
0.0000 0.0000 0.0000
0.5000 0.5000 0.5000
0.0000 0.5000 0.0000
0.5000 0.0000 0.0000
0.0000 0.0000 0.5000